No. 1
Cs2CCl7, optimized geometry, DFT PBE-GGA; E = -2.77 eV per atom; DOS(E_F) = 4.29 states/eV per cell; space-group type = I4/mmm
1.0
-3.7348 3.7348 5.0684
3.7348 -3.7348 5.0684
3.7348 3.7348 -5.0684
Cs C Cl
2 1 7
direct
0.2500 0.7500 0.5000
0.7500 0.2500 0.5000
0.0000 0.0000 0.0000
0.1905 0.1905 0.3811
0.1905 0.8095 0.0000
0.2505 0.2505 0.0000
0.5000 0.5000 0.0000
0.7495 0.7495 0.0000
0.8095 0.1905 0.0000
0.8095 0.8095 0.6189



No. 2
AcPmBiRh, optimized geometry, DFT PBE-GGA; calculated formation energy = -500.7 meV/atom; DOS(E_F) = 1.61 states/eV per cell; space-group type = F-43m
1.0
0.0000 3.8648 3.8648
3.8648 0.0000 3.8648
3.8648 3.8648 0.0000
Ac Pm Bi Rh
1 1 1 1
direct
0.0000 0.0000 0.0000
0.5000 0.5000 0.5000
0.7500 0.7500 0.7500
0.2500 0.2500 0.2500



No. 3
Co2WSe, optimized geometry, DFT PBE-GGA; E = -7.26 eV per atom; DOS(E_F) = 3.89 states/eV per cell; space-group type = Pmmm
1.0
3.0126 0.0000 0.0000
0.0000 4.0824 0.0000
0.0000 0.0000 4.2891
Co W Se
2 1 1
direct
0.0000 0.0000 0.0000
0.5000 0.0000 0.5000
0.0000 0.5000 0.5000
0.5000 0.5000 0.0000



No. 4
SrGeBr5, optimized geometry, DFT PBE-GGA; E = -3.17 eV per atom; DOS(E_F) = 6.16 states/eV per cell; space-group type = C2/c
1.0
5.9049 -4.3036 0.0000
5.9049 4.3036 0.0000
-4.2669 0.0000 9.6850
Sr Ge Br
2 2 10
direct
0.0703 0.9297 0.7500
0.9297 0.0703 0.2500
0.5000 0.5000 0.0000
0.5000 0.5000 0.5000
0.1575 0.7656 0.4556
0.2057 0.3204 0.8999
0.2344 0.8425 0.0444
0.3204 0.2057 0.3999
0.4445 0.5555 0.7500
0.5555 0.4445 0.2500
0.6796 0.7943 0.6001
0.7656 0.1575 0.9556
0.7943 0.6796 0.1001
0.8425 0.2344 0.5444



No. 5
Li6BRh4, optimized geometry, DFT PBE-GGA; calculated formation energy = -12.5 meV/atom; DOS(E_F) = 5.48 states/eV per cell; space-group type = I4/mmm
1.0
-4.1560 4.1560 2.2432
4.1560 -4.1560 2.2432
4.1560 4.1560 -2.2432
Li B Rh
6 1 4
direct
0.1721 0.1721 0.3442
0.1721 0.8279 0.0000
0.2500 0.7500 0.5000
0.7500 0.2500 0.5000
0.8279 0.1721 0.0000
0.8279 0.8279 0.6558
0.5000 0.5000 0.0000
0.2608 0.5000 0.7608
0.5000 0.2608 0.7608
0.5000 0.7392 0.2392
0.7392 0.5000 0.2392



No. 6
Pm2GaCl, optimized geometry, DFT PBE-GGA; excess energy over the best structure of this formula in the dataset = 0.070 eV/atom; DOS(E_F) = 1.74 states/eV per cell; space-group type = R3m
1.0
1.8772 1.0838 8.4787
-1.8772 1.0838 8.4787
0.0000 -2.1676 8.4787
Pm Ga Cl
2 1 1
direct
0.0000 0.0000 0.0000
0.1710 0.1710 0.1710
0.5854 0.5854 0.5854
0.7535 0.7535 0.7535



No. 7
SrZr2Fe, optimized geometry, DFT PBE-GGA; calculated formation energy = 883.8 meV/atom; excess energy over the best structure of this formula in the dataset = 0.666 eV/atom; DOS(E_F) = 15.99 states/eV per cell; space-group type = I4_1/amd
1.0
-3.6626 3.6626 5.1752
3.6626 -3.6626 5.1752
3.6626 3.6626 -5.1752
Sr Zr Fe
2 4 2
direct
0.3750 0.6250 0.7500
0.6250 0.3750 0.2500
0.0000 0.0000 0.0000
0.0000 0.0000 0.5000
0.0000 0.5000 0.0000
0.5000 0.0000 0.5000
0.1250 0.8750 0.2500
0.8750 0.1250 0.7500



No. 8
TiRe3Si, optimized geometry, DFT PBE-GGA; excess energy over the best structure of this formula in the dataset = 0.000 eV/atom; DOS(E_F) = 8.71 states/eV per cell; space-group type = Pm-3m
1.0
4.3995 0.0000 0.0000
0.0000 4.3995 0.0000
0.0000 0.0000 4.3995
Ti Re Si
1 3 1
direct
0.0000 0.0000 0.0000
0.0000 0.5000 0.5000
0.5000 0.0000 0.5000
0.5000 0.5000 0.0000
0.5000 0.5000 0.5000